# 1
# PmCrN PBE relaxed
data_PmCrN
_symmetry_space_group_name_H-M 'A m a 2'
_symmetry_Int_Tables_number 40
_symmetry_space_group_name_Hall 'A 2 -2a'
_cell_length_a 3.175
_cell_length_b 6.407
_cell_length_c 11.008
_cell_angle_alpha 90.00
_cell_angle_beta 90.00
_cell_angle_gamma 90.00
loop_
_atom_site_label
_atom_site_fract_x
_atom_site_fract_y
_atom_site_fract_z
_atom_site_occupancy
Pm1 0.250 0.250 0.000 1
Cr1 0.250 0.151 0.258 1
N1 0.250 0.305 0.673 1
# E_form (uncorrected): 0.14 eV/f.u.

---

# 2
# Pu2NpRu PBE relaxed
data_Pu2NpRu
_symmetry_space_group_name_H-M 'P 4/m m m'
_symmetry_Int_Tables_number 123
_symmetry_space_group_name_Hall '-P 4 2'
_cell_length_a 3.369
_cell_length_b 3.369
_cell_length_c 6.910
_cell_angle_alpha 90.00
_cell_angle_beta 90.00
_cell_angle_gamma 90.00
loop_
_atom_site_label
_atom_site_fract_x
_atom_site_fract_y
_atom_site_fract_z
_atom_site_occupancy
Pu1 0.000 0.000 0.236 1
Np1 0.500 0.500 0.500 1
Ru1 0.500 0.500 0.000 1
# Calculated formation energy: 40.6 kJ/mol of formula units

---

# 3
# Nd12Dy7In PBE relaxed
data_Nd12Dy7In
_symmetry_space_group_name_H-M 'I m -3'
_symmetry_Int_Tables_number 204
_symmetry_space_group_name_Hall '-I 2 2 3'
_cell_length_a 11.610
_cell_length_b 11.610
_cell_length_c 11.610
_cell_angle_alpha 90.00
_cell_angle_beta 90.00
_cell_angle_gamma 90.00
loop_
_atom_site_label
_atom_site_fract_x
_atom_site_fract_y
_atom_site_fract_z
_atom_site_occupancy
Nd1 0.000 0.221 0.222 1
Dy1 0.000 0.000 0.500 1
Dy2 0.250 0.250 0.250 1
In1 0.000 0.000 0.000 1
# Calculated formation energy: 1248.2 kJ/mol of formula units

---

# 4
# SrZr2Cd PBE relaxed
data_SrZr2Cd
_symmetry_space_group_name_H-M 'P 1 2/m 1'
_symmetry_Int_Tables_number 10
_symmetry_space_group_name_Hall '-P 2y'
_cell_length_a 3.292
_cell_length_b 5.638
_cell_length_c 5.807
_cell_angle_alpha 90.00
_cell_angle_beta 96.55
_cell_angle_gamma 90.00
loop_
_atom_site_label
_atom_site_fract_x
_atom_site_fract_y
_atom_site_fract_z
_atom_site_occupancy
Sr1 0.000 0.000 0.000 1
Zr1 0.304 0.500 0.718 1
Cd1 0.500 0.000 0.500 1
# Calculated formation energy: 110.0 kJ/mol of formula units

---

# 5
# Mn3Nb5 PBE relaxed
data_Mn3Nb5
_symmetry_space_group_name_H-M 'P 4/m m m'
_symmetry_Int_Tables_number 123
_symmetry_space_group_name_Hall '-P 4 2'
_cell_length_a 3.104
_cell_length_b 3.104
_cell_length_c 12.881
_cell_angle_alpha 90.00
_cell_angle_beta 90.00
_cell_angle_gamma 90.00
loop_
_atom_site_label
_atom_site_fract_x
_atom_site_fract_y
_atom_site_fract_z
_atom_site_occupancy
Mn1 0.000 0.000 0.000 1
Mn2 0.500 0.500 0.381 1
Nb1 0.000 0.000 0.263 1
Nb2 0.000 0.000 0.500 1
Nb3 0.500 0.500 0.118 1
# Calculated formation energy: -51.6 kJ/mol of formula units

---

# 6
# TiZnNiRu PBE relaxed
data_TiZnNiRu
_symmetry_space_group_name_H-M 'F -4 3 m'
_symmetry_Int_Tables_number 216
_symmetry_space_group_name_Hall 'F -4 2 3'
_cell_length_a 6.000
_cell_length_b 6.000
_cell_length_c 6.000
_cell_angle_alpha 90.00
_cell_angle_beta 90.00
_cell_angle_gamma 90.00
loop_
_atom_site_label
_atom_site_fract_x
_atom_site_fract_y
_atom_site_fract_z
_atom_site_occupancy
Ti1 0.000 0.000 0.000 1
Zn1 0.000 0.000 0.500 1
Ni1 0.250 0.250 0.750 1
Ru1 0.250 0.250 0.250 1
# Calculated formation energy: -160.4 kJ/mol of formula units

---

# 7
# SiP2Ru PBE relaxed
data_SiP2Ru
_symmetry_space_group_name_H-M 'C 1 2/m 1'
_symmetry_Int_Tables_number 12
_symmetry_space_group_name_Hall '-C 2y'
_cell_length_a 4.999
_cell_length_b 6.706
_cell_length_c 4.046
_cell_angle_alpha 90.00
_cell_angle_beta 120.10
_cell_angle_gamma 90.00
loop_
_atom_site_label
_atom_site_fract_x
_atom_site_fract_y
_atom_site_fract_z
_atom_site_occupancy
Si1 0.000 0.000 0.000 1
P1 0.250 0.250 0.500 1
Ru1 0.000 0.500 0.000 1
# E_form (uncorrected): 0.53 eV/f.u.